Density functional theory data (PBE-GGA) for an optimized crystal structure of AcSmAu.

abc: 4.512 5.022 5.022
angles: 120.00 90.00 90.00
Sites, in units of the cell vectors:
Ac  0.999  0.000  0.000
Au  0.503  0.333  0.667
Sm  0.498  0.667  0.333

Symmetry: P3m1 (156)
Fermi-level density of states: 1.334 states/eV/atom
Formation enthalpy at 0 K: -0.382 eV/atom
Uncorrected energy: -0.1623 hartree per atom
Energy above the most stable polymorph in this dataset: 141 meV/atom
V: 99 Å³/f.u.